(1)
Here is an optimized crystal structure of PmAlNiO4 from Alexandria. Energies are from GGA+U.

electronic total energy = -190.56 eV/cell
density of states at the Fermi level = 0.00 states/eV/f.u.

Structure (CIF):
```
data_PmAlNiO4
_cell_length_a 6.202
_cell_length_b 6.525
_cell_length_c 8.582
_cell_angle_alpha 90.00
_cell_angle_beta 90.00
_cell_angle_gamma 90.00
_symmetry_space_group_name_H-M 'I m m a'
_symmetry_Int_Tables_number 74
_symmetry_space_group_name_Hall '-I 2b 2'
loop_
_atom_site_label
_atom_site_type_symbol
_atom_site_fract_x
_atom_site_fract_y
_atom_site_fract_z
Pm1 Pm 0.000 0.000 0.000
Al1 Al 0.000 0.250 0.386
Ni1 Ni 0.250 0.250 0.750
O1 O 0.000 0.010 0.270
O2 O 0.236 0.250 0.510
```

***

(2)
Here is an optimized crystal structure of AlNiPt2O6 from Alexandria. Energies are from GGA+U.

electronic total energy = -237.24 eV/cell
density of states at the Fermi level = 5.79 states/eV/f.u.

Structure (CIF):
```
data_AlNiPt2O6
_cell_length_a 12.382
_cell_length_b 7.118
_cell_length_c 5.295
_cell_angle_alpha 90.00
_cell_angle_beta 108.73
_cell_angle_gamma 90.00
_symmetry_space_group_name_H-M 'C 1 2/c 1'
_symmetry_Int_Tables_number 15
loop_
_symmetry_equiv_pos_as_xyz
'x,y,z'
'-x,-y,-z'
'-x,y,-z+1/2'
'x,-y,z+1/2'
'x+1/2,y+1/2,z'
'-x+1/2,-y+1/2,-z'
'-x+1/2,y+1/2,-z+1/2'
'x+1/2,-y+1/2,z+1/2'
loop_
_atom_site_label
_atom_site_type_symbol
_atom_site_fract_x
_atom_site_fract_y
_atom_site_fract_z
Al1 Al 0.000 0.103 0.250
Ni1 Ni 0.000 0.308 0.750
Pt1 Pt 0.245 0.331 0.272
O1 O 0.079 0.294 0.142
O2 O 0.085 0.097 0.625
O3 O 0.205 0.411 0.858
```

***

(3)
Here is an optimized crystal structure of AlNi2PtO6 from Alexandria. Energies are from GGA+U.

electronic total energy = -52.95 eV/cell
density of states at the Fermi level = 4.37 states/eV/f.u.

Structure (CIF):
```
data_AlNi2PtO6
_cell_length_a 5.608
_cell_length_b 5.608
_cell_length_c 3.809
_cell_angle_alpha 90.00
_cell_angle_beta 90.00
_cell_angle_gamma 90.00
_symmetry_space_group_name_H-M 'P 4 m m'
_symmetry_Int_Tables_number 99
loop_
_symmetry_equiv_pos_as_xyz
'x,y,z'
'-y,x,z'
'-x,-y,z'
'y,-x,z'
'-x,y,z'
'y,x,z'
'x,-y,z'
'-y,-x,z'
loop_
_atom_site_label
_atom_site_type_symbol
_atom_site_fract_x
_atom_site_fract_y
_atom_site_fract_z
Al1 Al 0.000 0.000 0.000
Ni1 Ni 0.000 0.500 0.200
Pt1 Pt 0.500 0.500 0.026
O1 O 0.000 0.000 0.519
O2 O 0.245 0.245 0.070
O3 O 0.500 0.500 0.529
```

***

(4)
Here is an optimized crystal structure of PuAl2NiO8 from Alexandria. Energies are from GGA+U.

electronic total energy = -179.28 eV/cell
density of states at the Fermi level = 7.06 states/eV/f.u.

Structure (CIF):
```
data_PuAl2NiO8
_cell_length_a 6.496
_cell_length_b 6.633
_cell_length_c 5.951
_cell_angle_alpha 90.00
_cell_angle_beta 90.00
_cell_angle_gamma 90.00
_symmetry_space_group_name_H-M 'C m m m'
_symmetry_Int_Tables_number 65
_symmetry_space_group_name_Hall '-C 2 2'
loop_
_atom_site_label
_atom_site_type_symbol
_atom_site_fract_x
_atom_site_fract_y
_atom_site_fract_z
Pu1 Pu 0.000 0.000 0.000
Al1 Al 0.000 0.500 0.261
Ni1 Ni 0.000 0.000 0.500
O1 O 0.000 0.205 0.245
O2 O 0.183 0.500 0.000
O3 O 0.188 0.500 0.500
```

***

(5)
Here is an optimized crystal structure of RbAlNiO3 from Alexandria. Energies are from GGA+U.

electronic total energy = -133.04 eV/cell
density of states at the Fermi level = 0.00 states/eV/f.u.

Structure (CIF):
```
data_RbAlNiO3
_cell_length_a 5.496
_cell_length_b 10.168
_cell_length_c 5.400
_cell_angle_alpha 90.00
_cell_angle_beta 90.00
_cell_angle_gamma 90.00
_symmetry_space_group_name_H-M 'C m c m'
_symmetry_Int_Tables_number 63
_symmetry_space_group_name_Hall '-C 2c 2'
loop_
_atom_site_label
_atom_site_type_symbol
_atom_site_fract_x
_atom_site_fract_y
_atom_site_fract_z
Rb1 Rb 0.000 0.244 0.250
Al1 Al 0.000 0.438 0.750
Ni1 Ni 0.000 0.069 0.750
O1 O 0.000 0.266 0.750
O2 O 0.229 0.500 0.000
```

***

(6)
Here is an optimized crystal structure of RbAlNi2O from Alexandria. Energies are from GGA+U.

electronic total energy = -2.23 eV/cell
density of states at the Fermi level = 2.01 states/eV/f.u.

Structure (CIF):
```
data_RbAlNi2O
_cell_length_a 4.371
_cell_length_b 4.371
_cell_length_c 6.282
_cell_angle_alpha 90.00
_cell_angle_beta 90.00
_cell_angle_gamma 90.00
_symmetry_space_group_name_H-M 'P 4/m m m'
_symmetry_Int_Tables_number 123
_symmetry_space_group_name_Hall '-P 4 2'
loop_
_atom_site_label
_atom_site_type_symbol
_atom_site_fract_x
_atom_site_fract_y
_atom_site_fract_z
Rb1 Rb 0.000 0.000 0.000
Al1 Al 0.000 0.000 0.500
Ni1 Ni 0.000 0.500 0.000
O1 O 0.500 0.500 0.500
```

***

(7)
Here is an optimized crystal structure of AlNi2RhO6 from Alexandria. Energies are from GGA+U.

electronic total energy = -55.54 eV/cell
density of states at the Fermi level = 3.27 states/eV/f.u.

Structure (CIF):
```
data_AlNi2RhO6
_cell_length_a 5.620
_cell_length_b 5.620
_cell_length_c 3.734
_cell_angle_alpha 90.00
_cell_angle_beta 90.00
_cell_angle_gamma 90.00
_symmetry_space_group_name_H-M 'P 4 m m'
_symmetry_Int_Tables_number 99
loop_
_symmetry_equiv_pos_as_xyz
'x,y,z'
'-y,x,z'
'-x,-y,z'
'y,-x,z'
'-x,y,z'
'y,x,z'
'x,-y,z'
'-y,-x,z'
loop_
_atom_site_label
_atom_site_type_symbol
_atom_site_fract_x
_atom_site_fract_y
_atom_site_fract_z
Al1 Al 0.000 0.000 0.000
Ni1 Ni 0.000 0.500 0.155
Rh1 Rh 0.500 0.500 0.014
O1 O 0.000 0.000 0.510
O2 O 0.245 0.245 0.046
O3 O 0.500 0.500 0.519
```

***

(8)
Here is an optimized crystal structure of AlNi2RuO6 from Alexandria. Energies are from GGA+U.

electronic total energy = -58.52 eV/cell
density of states at the Fermi level = 6.51 states/eV/f.u.

Structure (CIF):
```
data_AlNi2RuO6
_cell_length_a 5.589
_cell_length_b 5.589
_cell_length_c 3.704
_cell_angle_alpha 90.00
_cell_angle_beta 90.00
_cell_angle_gamma 90.00
_symmetry_space_group_name_H-M 'P 4 m m'
_symmetry_Int_Tables_number 99
loop_
_symmetry_equiv_pos_as_xyz
'x,y,z'
'-y,x,z'
'-x,-y,z'
'y,-x,z'
'-x,y,z'
'y,x,z'
'x,-y,z'
'-y,-x,z'
loop_
_atom_site_label
_atom_site_type_symbol
_atom_site_fract_x
_atom_site_fract_y
_atom_site_fract_z
Al1 Al 0.000 0.000 0.000
Ni1 Ni 0.000 0.500 0.180
Ru1 Ru 0.500 0.500 0.017
O1 O 0.000 0.000 0.511
O2 O 0.246 0.246 0.046
O3 O 0.500 0.500 0.523
```